(1)
Material: KNb2SN
Method: DFT, SCAN
State: PBEsol geometry

The structure belongs to space group P4/mmm (No. 123); the cell edges are 4.568, 4.568 and 4.824 Å and the angles 90.00°, 90.00° and 90.00°. The distinct sites, in fractional coordinates, are K at (0.000, 0.000, 0.000), Nb at (0.000, 0.500, 0.500), S at (0.500, 0.500, 0.500) and N at (0.500, 0.500, 0.000).

For the electronic total energy, the calculation gives -17.35 eV/atom. The uncorrected formation energy comes out at 1.349 eV/atom.

***

(2)
Material: KNi2SnN
Method: DFT, SCAN
State: PBEsol geometry

The structure belongs to space group P4/mmm (No. 123); the cell edges are 4.641, 4.641 and 6.635 Å and the angles 90.00°, 90.00° and 90.00°. The distinct sites, in fractional coordinates, are K at (0.000, 0.000, 0.000), Ni at (0.000, 0.500, 0.500), Sn at (0.000, 0.000, 0.500) and N at (0.500, 0.500, 0.000).

For the electronic total energy, the calculation gives -15.64 eV/atom. The uncorrected formation energy comes out at 1.535 eV/atom.

***

(3)
Material: KNiSn2N
Method: DFT, SCAN
State: PBEsol geometry

The structure belongs to space group P4/mmm (No. 123); the cell edges are 4.695, 4.695 and 6.134 Å and the angles 90.00°, 90.00° and 90.00°. The distinct sites, in fractional coordinates, are K at (0.000, 0.000, 0.000), Ni at (0.000, 0.000, 0.500), Sn at (0.000, 0.500, 0.500) and N at (0.500, 0.500, 0.000).

For the electronic total energy, the calculation gives -20.36 eV/atom. The uncorrected formation energy comes out at 0.771 eV/atom.